Density functional theory data (PBE) for a relaxed structure of PaGeRh2.

Cell: 4.000 5.821 4.445 Å, 130.90 93.86 90.00°
Fractional positions:
Rh (0.045, 0.226, 0.452)
Pa (0.500, 0.500, 0.000)
Rh (0.955, 0.774, 0.548)
Ge (0.500, 0.000, 0.000)

total magnetic moment: 0.00 μB per cell
ρ: 10.9 g cm⁻³
energy of formation from the pure elements: -478 meV per atom
N(E_F): 0.860 states/eV/atom
DFT total energy: -30.727 eV/cell

---

Density functional theory data (PBE) for a relaxed structure of Pa4Ge6Rh5.

Cell: 4.111 9.776 14.865 Å, 90.00 90.00 102.14°
Fractional positions:
Rh (0.356, 0.713, 0.978)
Ge (0.111, 0.222, 0.117)
Pa (0.821, 0.642, 0.435)
Ge (0.778, 0.555, 0.993)
Ge (0.415, 0.831, 0.130)
Ge (0.764, 0.527, 0.249)
Rh (0.687, 0.375, 0.116)
Rh (0.458, 0.915, 0.680)
Rh (0.644, 0.287, 0.478)
Ge (0.889, 0.778, 0.617)
Ge (0.430, 0.859, 0.414)
Rh (0.313, 0.625, 0.616)
Ge (0.236, 0.473, 0.749)
Rh (0.849, 0.697, 0.128)
Pa (0.838, 0.675, 0.809)
Ge (0.558, 0.115, 0.355)
Pa (0.162, 0.325, 0.309)
Pa (0.964, 0.929, 0.263)
Ge (0.222, 0.445, 0.493)
Rh (0.657, 0.314, 0.785)
Pa (0.036, 0.071, 0.763)
Pa (0.979, 0.959, 0.002)
Rh (0.542, 0.085, 0.180)
Ge (0.570, 0.141, 0.914)
Ge (0.585, 0.169, 0.630)
Rh (0.343, 0.686, 0.285)
Pa (0.179, 0.358, 0.935)
Pa (0.021, 0.041, 0.502)
Rh (0.151, 0.303, 0.628)
Ge (0.442, 0.885, 0.855)

total magnetic moment: 0.00 μB per cell
ρ: 10.7 g cm⁻³
energy of formation from the pure elements: -615 meV per atom
N(E_F): 0.896 states/eV/atom
DFT total energy: -223.341 eV/cell

---

Density functional theory data (PBE) for a relaxed structure of Pa2Ge5Rh3.

Cell: 4.325 6.786 12.453 Å, 90.00 100.00 90.00°
Each line ends with the local moment (μB).
Fractional positions:
Ge (0.120, 0.264, 0.240)  0.00
Rh (0.222, 0.218, 0.443)  0.01
Ge (0.880, 0.764, 0.760)  0.00
Ge (0.707, 0.433, 0.414)  0.00
Rh (0.053, 0.967, 0.107)  -0.01
Pa (0.173, 0.737, 0.346)  0.04
Rh (0.947, 0.467, 0.893)  -0.01
Ge (0.293, 0.933, 0.586)  0.00
Ge (0.950, 0.081, 0.900)  0.00
Pa (0.827, 0.237, 0.654)  0.04
Rh (0.395, 0.007, 0.790)  -0.01
Rh (0.778, 0.718, 0.557)  0.01
Ge (0.710, 0.016, 0.421)  0.00
Ge (0.399, 0.393, 0.797)  0.00
Pa (0.521, 0.250, 0.042)  0.32
Ge (0.290, 0.516, 0.579)  0.00
Pa (0.479, 0.750, 0.958)  0.32
Rh (0.605, 0.507, 0.210)  -0.01
Ge (0.601, 0.893, 0.203)  0.00
Ge (0.050, 0.581, 0.100)  0.00

total magnetic moment: 0.83 μB per cell
ρ: 10.5 g cm⁻³
energy of formation from the pure elements: -648 meV per atom
N(E_F): 0.601 states/eV/atom
DFT total energy: -141.222 eV/cell

---

Density functional theory data (PBE) for a relaxed structure of Pa2Ge5Rh3.

Cell: 6.121 8.318 8.318 Å, 74.32 68.41 68.41°
Fractional positions:
Rh (0.856, 0.751, 0.537)
Pa (0.363, 0.863, 0.410)
Pa (0.863, 0.410, 0.863)
Pa (0.137, 0.590, 0.137)
Ge (0.030, 0.220, 0.220)
Rh (0.144, 0.249, 0.463)
Rh (0.644, 0.463, 0.249)
Ge (0.250, 0.500, 0.500)
Ge (0.901, 0.938, 0.259)
Ge (0.599, 0.741, 0.062)
Rh (0.356, 0.537, 0.751)
Ge (0.401, 0.259, 0.938)
Ge (0.970, 0.780, 0.780)
Rh (0.250, 0.000, 0.000)
Pa (0.637, 0.137, 0.590)
Ge (0.470, 0.780, 0.780)
Ge (0.099, 0.062, 0.741)
Ge (0.750, 0.500, 0.500)
Ge (0.530, 0.220, 0.220)
Rh (0.750, 0.000, 0.000)

total magnetic moment: 0.00 μB per cell
ρ: 10.4 g cm⁻³
energy of formation from the pure elements: -650 meV per atom
N(E_F): 0.654 states/eV/atom
DFT total energy: -141.275 eV/cell

---

Density functional theory data (PBE) for a relaxed structure of PaGe3Rh.

Cell: 5.813 5.585 6.021 Å, 90.00 90.00 89.99°
Fractional positions:
Pa (0.410, 0.314, 0.701)
Ge (0.469, 0.862, 0.967)
Ge (0.969, 0.491, 0.467)
Pa (0.910, 0.039, 0.201)
Ge (0.969, 0.491, 0.935)
Ge (0.866, 0.097, 0.701)
Rh (0.664, 0.560, 0.201)
Ge (0.366, 0.256, 0.201)
Rh (0.164, 0.793, 0.701)
Ge (0.469, 0.862, 0.435)

total magnetic moment: 0.00 μB per cell
ρ: 9.4 g cm⁻³
energy of formation from the pure elements: -506 meV per atom
N(E_F): 0.712 states/eV/atom
DFT total energy: -66.462 eV/cell

---

Density functional theory data (PBE) for a relaxed structure of Pa2Ge7Rh12.

Cell: 3.876 10.019 10.019 Å, 120.00 90.00 90.00°
Fractional positions:
Ge (0.500, 0.629, 0.564)
Rh (0.000, 0.955, 0.212)
Rh (0.000, 0.788, 0.743)
Rh (0.000, 0.479, 0.943)
Rh (0.500, 0.205, 0.421)
Rh (0.500, 0.579, 0.784)
Ge (0.500, 0.935, 0.371)
Rh (0.500, 0.216, 0.795)
Rh (0.000, 0.464, 0.521)
Rh (0.000, 0.057, 0.536)
Ge (0.000, 0.047, 0.776)
Pa (0.500, 0.000, 0.000)
Rh (0.000, 0.257, 0.045)
Ge (0.000, 0.333, 0.667)
Ge (0.500, 0.436, 0.065)
Ge (0.000, 0.729, 0.953)
Pa (0.000, 0.667, 0.333)
Rh (0.500, 0.709, 0.116)
Rh (0.500, 0.407, 0.291)
Rh (0.500, 0.884, 0.593)
Ge (0.000, 0.224, 0.271)

total magnetic moment: 0.00 μB per cell
ρ: 10.9 g cm⁻³
energy of formation from the pure elements: -661 meV per atom
N(E_F): 0.617 states/eV/atom
DFT total energy: -153.402 eV/cell

---

Density functional theory data (PBE) for a relaxed structure of Pa2Ge3Rh2.

Cell: 4.190 6.919 9.400 Å, 90.00 102.88 90.00°
Fractional positions:
Pa (0.948, 0.250, 0.896)
Ge (0.564, 0.060, 0.127)
Rh (0.305, 0.458, 0.610)
Rh (0.695, 0.958, 0.390)
Ge (0.564, 0.440, 0.127)
Rh (0.305, 0.042, 0.610)
Ge (0.436, 0.940, 0.873)
Ge (0.436, 0.560, 0.873)
Ge (0.216, 0.750, 0.432)
Pa (0.841, 0.750, 0.682)
Pa (0.052, 0.750, 0.104)
Ge (0.784, 0.250, 0.568)
Pa (0.159, 0.250, 0.318)
Rh (0.695, 0.542, 0.390)

total magnetic moment: 0.00 μB per cell
ρ: 11.1 g cm⁻³
energy of formation from the pure elements: -710 meV per atom
N(E_F): 0.949 states/eV/atom
DFT total energy: -105.029 eV/cell

---

Density functional theory data (PBE) for a relaxed structure of Pa3Ge6Rh5.

Cell: 4.276 9.160 12.711 Å, 90.00 90.00 90.00°
Fractional positions:
Rh (0.500, 0.876, 0.845)
Rh (0.000, 0.465, 0.885)
Ge (0.000, 0.019, 0.842)
Pa (0.000, 0.746, 0.000)
Rh (0.500, 0.535, 0.385)
Ge (0.500, 0.041, 0.000)
Ge (0.000, 0.392, 0.322)
Ge (0.500, 0.608, 0.178)
Pa (0.000, 0.745, 0.315)
Ge (0.000, 0.392, 0.678)
Ge (0.500, 0.608, 0.822)
Ge (0.000, 0.019, 0.158)
Rh (0.000, 0.465, 0.115)
Rh (0.500, 0.535, 0.615)
Ge (0.500, 0.981, 0.658)
Rh (0.500, 0.799, 0.500)
Pa (0.500, 0.254, 0.500)
Rh (0.500, 0.876, 0.155)
Pa (0.500, 0.255, 0.185)
Pa (0.000, 0.745, 0.685)
Ge (0.000, 0.531, 0.500)
Rh (0.000, 0.124, 0.345)
Ge (0.000, 0.959, 0.500)
Rh (0.000, 0.201, 0.000)
Rh (0.000, 0.124, 0.655)
Ge (0.500, 0.469, 0.000)
Pa (0.500, 0.255, 0.815)
Ge (0.500, 0.981, 0.342)

total magnetic moment: 0.00 μB per cell
ρ: 11.0 g cm⁻³
energy of formation from the pure elements: -661 meV per atom
N(E_F): 0.628 states/eV/atom
DFT total energy: -204.415 eV/cell

---

- Which of these has the lowest DFT total energy?
  Pa4Ge6Rh5